1.
Here is a relaxed Ho4Ag3Pd crystal from the Alexandria database. Energies are from PBE.

Output
The calculated volume is 184.60 Å³/cell. The density of states at the Fermi level is 2.35 states/eV per cell. The calculation puts the formation energy at -0.480 eV per atom.

Cell: 3.5778 3.5778 14.4212 Å, 90.00 90.00 90.00°
With the nearest neighbours (Å) after each atom.
Fractional positions:
Pd 0.5000 0.5000 0.0000  8 Ho 3.04
Ho 0.0000 0.0000 0.8833  4 Pd 3.04, 4 Ag 3.14, 1 Ho 3.37
Ho 0.0000 0.0000 0.1167  4 Pd 3.04, 4 Ag 3.14, 1 Ho 3.37
Ho 0.0000 0.0000 0.3722  8 Ag 3.12-3.13
Ho 0.0000 0.0000 0.6278  8 Ag 3.12-3.13
Ag 0.5000 0.5000 0.2458  8 Ho 3.12-3.14
Ag 0.5000 0.5000 0.5000  8 Ho 3.13
Ag 0.5000 0.5000 0.7542  8 Ho 3.12-3.14

---

2.
Here is a relaxed Ho3AgPd5 crystal from the Alexandria database. Energies are from PBE.

Output
The calculated volume is 350.17 Å³/cell. The density of states at the Fermi level is 7.86 states/eV per cell. The calculation puts the formation energy at -0.799 eV per atom.

Cell: 5.7088 8.4148 8.4164 Å, 119.99 90.00 90.00°
With the nearest neighbours (Å) after each atom.
Fractional positions:
Ho 0.7500 0.3567 0.3567  9 Pd 2.79-3.07
Ho 0.7500 0.9999 0.6433  9 Pd 2.79-3.07
Ho 0.7500 0.6432 0.0000  9 Pd 2.79-3.06
Ho 0.2500 0.6433 0.6433  9 Pd 2.79-3.07
Ho 0.2500 0.0001 0.3567  9 Pd 2.79-3.07
Ho 0.2500 0.3568 0.0000  9 Pd 2.79-3.06
Ag 0.0000 0.0000 0.0000  2 Ag 2.85, 6 Pd 2.99
Ag 0.5000 0.0000 0.0000  2 Ag 2.85, 6 Pd 2.99
Pd 0.0000 0.6667 0.3333  2 Pd 2.85, 6 Ho 3.06-3.07
Pd 0.5000 0.3333 0.6667  2 Pd 2.85, 6 Ho 3.06-3.07
Pd 0.0000 0.3333 0.6667  2 Pd 2.85, 6 Ho 3.06-3.07
Pd 0.5000 0.6667 0.3333  2 Pd 2.85, 6 Ho 3.06-3.07
Pd 0.7500 0.6879 0.6880  5 Ho 2.79-2.88, 2 Ag 2.99
Pd 0.7500 0.9998 0.3120  5 Ho 2.79-2.88, 2 Ag 2.99
Pd 0.7500 0.3119 0.0000  5 Ho 2.79-2.88, 2 Ag 2.99
Pd 0.2500 0.3121 0.3120  5 Ho 2.79-2.88, 2 Ag 2.99
Pd 0.2500 0.0002 0.6880  5 Ho 2.79-2.88, 2 Ag 2.99
Pd 0.2500 0.6881 0.0000  5 Ho 2.79-2.88, 2 Ag 2.99

---

3.
Here is a relaxed Ho4AgPd2 crystal from the Alexandria database. Energies are from PBE.

Output
The calculated volume is 171.39 Å³/cell. The density of states at the Fermi level is 5.47 states/eV per cell. The energy relative to the lowest polymorph listed for this composition comes out at 15 meV/atom. The calculation puts the formation energy at -0.554 eV per atom.

Cell: 4.9562 4.9562 8.5497 Å, 73.15 73.15 60.00°
With the nearest neighbours (Å) after each atom.
Fractional positions:
Ho 0.8723 0.8723 0.3832  4 Pd 2.93-3.05, 1 Ag 3.09
Ho 0.1277 0.1277 0.6168  4 Pd 2.93-3.05, 1 Ag 3.09
Ho 0.6216 0.6216 0.1353  4 Pd 3.02-3.13, 3 Ag 3.06
Ho 0.3784 0.3784 0.8647  4 Pd 3.02-3.13, 3 Ag 3.06
Ag 0.0000 0.0000 0.0000  8 Ho 3.06-3.09
Pd 0.7512 0.7512 0.7465  8 Ho 2.93-3.13
Pd 0.2488 0.2488 0.2535  8 Ho 2.93-3.13

---

4.
Here is a relaxed Ho3Ag2Pd3 crystal from the Alexandria database. Energies are from PBE.

Output
The calculated volume is 344.98 Å³/cell. The density of states at the Fermi level is 11.78 states/eV per cell. The calculation puts the formation energy at -0.623 eV per atom.

Cell: 5.6127 8.4246 8.4246 Å, 120.00 90.00 90.00°
With the nearest neighbours (Å) after each atom.
Fractional positions:
Ho 0.7500 0.2816 0.0000  5 Pd 2.86-2.92
Ho 0.7500 0.7184 0.7184  5 Pd 2.86-2.92
Ho 0.7500 0.0000 0.2816  5 Pd 2.86-2.92
Ho 0.2500 0.7184 0.0000  5 Pd 2.86-2.92
Ho 0.2500 0.2816 0.2816  5 Pd 2.86-2.92
Ho 0.2500 0.0000 0.7184  5 Pd 2.86-2.92
Ag 0.0000 0.3333 0.6667  2 Ag 2.81, 6 Pd 2.99
Ag 0.5000 0.6667 0.3333  2 Ag 2.81, 6 Pd 2.99
Ag 0.0000 0.6667 0.3333  2 Ag 2.81, 6 Pd 2.99
Ag 0.5000 0.3333 0.6667  2 Ag 2.81, 6 Pd 2.99
Pd 0.7500 0.6214 0.0000  5 Ho 2.86-2.92, 4 Ag 2.99
Pd 0.7500 0.3786 0.3786  5 Ho 2.86-2.92, 4 Ag 2.99
Pd 0.7500 0.0000 0.6214  5 Ho 2.86-2.92, 4 Ag 2.99
Pd 0.2500 0.3786 0.0000  5 Ho 2.86-2.92, 4 Ag 2.99
Pd 0.2500 0.6214 0.6214  5 Ho 2.86-2.92, 4 Ag 2.99
Pd 0.2500 0.0000 0.3786  5 Ho 2.86-2.92, 4 Ag 2.99

---

5.
Here is a relaxed Ho2Ag6Pd crystal from the Alexandria database. Energies are from PBE.

Output
The calculated volume is 177.62 Å³/cell. The density of states at the Fermi level is 3.70 states/eV per cell. The calculation puts the formation energy at -0.288 eV per atom.

Cell: 4.0232 7.0075 7.0801 Å, 110.91 106.51 90.00°
With the nearest neighbours (Å) after each atom.
Fractional positions:
Ho 0.9425 0.1910 0.8850  2 Pd 2.84, 9 Ag 3.04-3.09
Ho 0.0575 0.8090 0.1150  2 Pd 2.84, 9 Ag 3.04-3.09
Ag 0.3904 0.8311 0.7808  6 Ag 2.94-3.04, 4 Ho 3.08-3.09, 1 Pd 3.19
Ag 0.6096 0.1689 0.2192  6 Ag 2.94-3.04, 4 Ho 3.08-3.09, 1 Pd 3.19
Ag 0.7301 0.8263 0.4602  7 Ag 2.93-3.05, 3 Ho 3.06, 1 Pd 3.11
Ag 0.1703 0.4992 0.3405  8 Ag 2.93-3.05, 2 Ho 3.04-3.09, 2 Pd 3.07
Ag 0.2699 0.1737 0.5398  7 Ag 2.93-3.05, 3 Ho 3.06, 1 Pd 3.11
Ag 0.8297 0.5008 0.6595  8 Ag 2.93-3.05, 2 Ho 3.04-3.09, 2 Pd 3.07
Pd 0.5000 0.5000 0.0000  4 Ho 2.84, 6 Ag 3.07-3.11

---

6.
Here is a relaxed Ho6AgPd5 crystal from the Alexandria database. Energies are from PBE.

Output
The calculated volume is 285.53 Å³/cell. The density of states at the Fermi level is 7.96 states/eV per cell. The energy relative to the lowest polymorph listed for this composition comes out at 138 meV/atom. The calculation puts the formation energy at -0.662 eV per atom.

Cell: 7.1761 7.2519 6.7255 Å, 57.38 82.30 75.62°
With the nearest neighbours (Å) after each atom.
Fractional positions:
Ho 0.7183 0.1014 0.3550  5 Pd 2.80-2.94
Ho 0.2817 0.5436 0.3550  5 Pd 2.80-2.94
Ho 0.2105 0.2970 0.0000  5 Pd 2.83-2.97, 1 Ag 2.92
Ho 0.7895 0.7030 0.0000  5 Pd 2.83-2.97, 1 Ag 2.92
Ho 0.7183 0.4564 0.6450  5 Pd 2.80-2.94
Ho 0.2817 0.8986 0.6450  5 Pd 2.80-2.94
Ag 0.0000 0.0000 0.0000  6 Ho 2.92-3.19
Pd 0.5000 0.1282 0.7436  6 Ho 2.90-2.97, 1 Pd 2.90
Pd 0.0000 0.3013 0.3975  6 Ho 2.85-2.90
Pd 0.5000 0.5000 0.0000  6 Ho 2.80-2.83
Pd 0.0000 0.6987 0.6025  6 Ho 2.85-2.90
Pd 0.5000 0.8718 0.2564  6 Ho 2.90-2.97, 1 Pd 2.90

---

7.
Here is a relaxed Ho2Ag2Pd3 crystal from the Alexandria database. Energies are from PBE.

Output
The calculated volume is 134.13 Å³/cell. The density of states at the Fermi level is 2.87 states/eV per cell. The energy relative to the lowest polymorph listed for this composition comes out at 0 meV/atom. The calculation puts the formation energy at -0.642 eV per atom.

Cell: 4.1824 6.7985 5.1925 Å, 96.42 113.75 90.00°
With the nearest neighbours (Å) after each atom.
Fractional positions:
Ho 0.4201 0.2478 0.8402  6 Pd 2.82-2.95, 3 Ag 3.03-3.11
Ho 0.5799 0.7522 0.1598  6 Pd 2.82-2.95, 3 Ag 3.03-3.11
Ag 0.1423 0.4245 0.2846  4 Pd 2.95-3.07, 3 Ag 3.01-3.02, 5 Ho 3.03-3.16
Ag 0.8577 0.5755 0.7154  4 Pd 2.95-3.07, 3 Ag 3.01-3.02, 5 Ho 3.03-3.16
Pd 0.0000 0.0000 0.0000  4 Ho 2.85, 6 Pd 3.00-3.01, 2 Ag 3.03
Pd 0.2865 0.8538 0.5731  4 Ho 2.82-2.95, 3 Ag 2.95-3.07, 5 Pd 3.00-3.02
Pd 0.7135 0.1462 0.4269  4 Ho 2.82-2.95, 3 Ag 2.95-3.07, 5 Pd 3.00-3.02

---

8.
Here is a relaxed Ho4AgPd2 crystal from the Alexandria database. Energies are from PBE.

Output
The calculated volume is 343.92 Å³/cell. The density of states at the Fermi level is 12.71 states/eV per cell. The energy relative to the lowest polymorph listed for this composition comes out at 0 meV/atom. The calculation puts the formation energy at -0.569 eV per atom.

Cell: 7.0822 7.0011 8.3697 Å, 107.46 107.91 106.15°
With the nearest neighbours (Å) after each atom.
Fractional positions:
Ho 0.9702 0.2064 0.3163  3 Pd 2.87-2.99, 1 Ag 3.01
Ho 0.3849 0.4778 0.2076  3 Pd 2.82-2.95, 1 Ag 3.03
Ho 0.8648 0.6033 0.6098  3 Pd 2.83-2.95, 1 Ag 2.97
Ho 0.7423 0.1696 0.7687  3 Pd 2.83-2.98
Ho 0.4276 0.0203 0.2928  3 Pd 2.82-2.95, 1 Ag 3.03
Ho 0.2238 0.1514 0.7317  3 Pd 2.83-2.98
Ho 0.5038 0.7436 0.8896  3 Pd 2.83-2.95, 1 Ag 2.97
Ho 0.9032 0.6400 0.1832  3 Pd 2.87-2.99, 1 Ag 3.01
Ag 0.2907 0.7265 0.5165  8 Ho 2.97-3.32, 1 Pd 2.99
Ag 0.0240 0.9595 0.9829  8 Ho 2.97-3.32, 1 Pd 2.99
Pd 0.4414 0.3813 0.5694  5 Ho 2.82-2.99, 1 Ag 2.99
Pd 0.7700 0.8982 0.4385  7 Ho 2.84-2.98
Pd 0.5815 0.2100 0.0620  7 Ho 2.84-2.98
Pd 0.1218 0.5621 0.9309  5 Ho 2.82-2.99, 1 Ag 2.99